Material: BaNd2NiO5
Method: DFT, PBE+U
State: relaxed

## Properties
Raw total energy   -6.96 eV per atom
Symmetry   I4/mcm (140)
Relative energy among the computed polymorphs   0.252 eV/f.u.

Lattice parameters (Å, degrees): 6.7771 6.7771 7.5790 116.56 116.56 90.00
Site moments in Bohr magnetons follow the coordinates.
Atoms (fractional coordinates):
Ba  0.2500  0.2500  0.5000  0.00
Ba  0.7500  0.7500  0.5000  0.00
Nd  0.1737  0.3263  0.0000  0.01
Nd  0.6737  0.1737  0.0000  0.01
Nd  0.3263  0.8263  0.0000  0.01
Nd  0.8263  0.6737  0.0000  0.01
Ni  0.2500  0.7500  0.5000  1.69
Ni  0.7500  0.2500  0.5000  1.69
O  0.9891  0.4891  0.2588  0.05
O  0.7304  0.2304  0.7412  0.05
O  0.0109  0.5109  0.7412  0.05
O  0.2304  0.0109  0.7412  0.05
O  0.5109  0.7304  0.7412  0.05
O  0.7696  0.9891  0.2588  0.05
O  0.4891  0.2696  0.2588  0.05
O  0.2696  0.7696  0.2588  0.05
O  0.5000  0.5000  0.0000  0.00
O  0.0000  0.0000  0.0000  0.00